# 1
The following is a DFT calculation (GGA-PBE) of a geometry-optimized KPm3Cl10 structure.

a = 14.4327 Å, b = 14.4327 Å, c = 14.4327 Å
α = 90.00°, β = 90.00°, γ = 90.00°
With the nearest neighbours (Å) after each atom.
Space group Fm-3m (No. 225)
Inequivalent atoms, fractional coordinates:
K: 0.2500 0.2500 0.2500 x8  4 Cl 3.36
Pm: 0.0000 0.0000 0.2399 x24  8 Cl 2.76-2.96
Cl: 0.0000 0.1679 0.3321 x48  2 Pm 2.76
Cl: 0.1156 0.1156 0.1156 x32  3 Pm 2.96



# 2
The following is a DFT calculation (GGA-PBE) of a geometry-optimized LiPuTl2S4 structure.

a = 6.6626 Å, b = 4.0193 Å, c = 7.6604 Å
α = 90.00°, β = 106.79°, γ = 90.00°
With the nearest neighbours (Å) after each atom.
Space group P2/m (No. 10)
Inequivalent atoms, fractional coordinates:
Li: 0.0000 0.0000 0.0000 x1  6 S 2.67-2.77
Pu: 0.5000 0.5000 0.0000 x1  6 S 2.54-2.68
Tl: 0.0000 0.5000 0.5000 x1  6 S 3.23
Tl: 0.5000 0.0000 0.5000 x1  6 S 3.13-3.15
S: 0.2521 0.5000 0.1971 x2  1 Pu 2.54, 2 Li 2.77
S: 0.2748 0.0000 0.8061 x2  1 Li 2.67, 2 Pu 2.68



# 3
The following is a DFT calculation (GGA-PBE) of a geometry-optimized BeTe2HI structure.

## Properties
Offset from the most stable computed form: 38.3 kJ/mol of formula units

a = 4.9765 Å, b = 4.9765 Å, c = 5.5976 Å
α = 90.00°, β = 90.00°, γ = 90.00°
With the nearest neighbours (Å) after each atom.
Space group P4/mmm (No. 123)
Inequivalent atoms, fractional coordinates:
Be: 0.0000 0.0000 0.0000 x1  4 Te 2.49
Te: 0.0000 0.5000 0.0000 x2  2 Be 2.49
H: 0.5000 0.5000 0.5000 x1  4 I 3.52, 8 Te 3.74
I: 0.0000 0.0000 0.5000 x1  2 Be 2.80



# 4
The following is a DFT calculation (GGA-PBE) of a geometry-optimized Cr2Ag structure.

## Properties
Energy of formation from the pure elements: 0.746 eV per atom

a = 2.7165 Å, b = 2.7165 Å, c = 23.6638 Å
α = 90.00°, β = 90.00°, γ = 90.00°
With the nearest neighbours (Å) after each atom.
Space group I4_1/amd (No. 141, origin choice 2)
Inequivalent atoms, fractional coordinates:
Cr: 0.0000 0.2500 0.2853 x8  2 Cr 2.15
Ag: 0.0000 0.2500 0.8750 x4  4 Ag 2.72, 8 Cr 2.86



# 5
The following is a DFT calculation (GGA-PBE) of a geometry-optimized SrCd3In structure.

## Properties
Energy of formation from the pure elements: 0.076 eV per atom
Offset from the most stable computed form: 164.4 kJ/mol of formula units

a = 5.5231 Å, b = 5.5231 Å, c = 5.5231 Å
α = 90.00°, β = 90.00°, γ = 90.00°
With the nearest neighbours (Å) after each atom.
Space group Pm-3m (No. 221)
Inequivalent atoms, fractional coordinates:
Sr: 0.0000 0.0000 0.0000 x1  12 Cd 3.91
Cd: 0.0000 0.5000 0.5000 x3  2 In 2.76
In: 0.5000 0.5000 0.5000 x1  6 Cd 2.76



# 6
The following is a DFT calculation (GGA-PBE) of a geometry-optimized PmAgBi2 structure.

## Properties
Energy of formation from the pure elements: -0.513 eV per atom
Offset from the most stable computed form: 0.0 kJ/mol of formula units

a = 4.6020 Å, b = 4.6020 Å, c = 10.3988 Å
α = 90.00°, β = 90.00°, γ = 90.00°
With the nearest neighbours (Å) after each atom.
Space group P4/nmm (No. 129, origin choice 2)
Inequivalent atoms, fractional coordinates:
Pm: 0.2500 0.2500 0.2489 x2  8 Bi 3.32-3.46, 4 Ag 3.48
Ag: 0.2500 0.7500 0.5000 x2  4 Bi 3.01, 4 Ag 3.25
Bi: 0.2500 0.2500 0.6866 x2  4 Ag 3.01, 4 Pm 3.32
Bi: 0.2500 0.7500 0.0000 x2  4 Bi 3.25, 4 Pm 3.46



# 7
The following is a DFT calculation (GGA-PBE) of a geometry-optimized MnHg3Mo structure.

## Properties
Energy of formation from the pure elements: 1.223 eV per atom
Offset from the most stable computed form: 0.0 kJ/mol of formula units

a = 5.1109 Å, b = 5.1109 Å, c = 5.1109 Å
α = 90.00°, β = 90.00°, γ = 90.00°
With the nearest neighbours (Å) after each atom.
Space group Pm-3m (No. 221)
Inequivalent atoms, fractional coordinates:
Mn: 0.0000 0.0000 0.0000 x1  6 Hg 2.56
Hg: 0.0000 0.0000 0.5000 x3  2 Mn 2.56
Mo: 0.5000 0.5000 0.5000 x1  12 Hg 3.61



# 8
The following is a DFT calculation (GGA-PBE) of a geometry-optimized SrRu2I structure.

## Properties
Offset from the most stable computed form: 0.0 kJ/mol of formula units

a = 6.8238 Å, b = 6.8238 Å, c = 6.8238 Å
α = 90.00°, β = 90.00°, γ = 90.00°
With the nearest neighbours (Å) after each atom.
Space group Fm-3m (No. 225)
Inequivalent atoms, fractional coordinates:
Sr: 0.0000 0.0000 0.0000 x4  8 Ru 2.95
Ru: 0.2500 0.2500 0.2500 x8  4 I 2.95, 4 Sr 2.95
I: 0.0000 0.0000 0.5000 x4  8 Ru 2.95



Electronic total energy list, top to bottom, in eV/atom: -4.63 -5.57 -2.24 -6.62 -1.36 -4.35 -2.96 -4.62
Magnetization list, top to bottom, in μB/f.u.: 0.000 3.001 1.096 0.000 0.000 0.000 8.310 0.538